Entry from Alexandria via LeMat-Bulk: a geometry-optimized Li4YAl structure (PBE).

CIF file:
```
data_Li4YAl
_chemical_formula_sum 'Li16 Y4 Al4'
_space_group_name_H-M_alt 'F -4 3 m'
_space_group_IT_number 216
_space_group_name_Hall 'F -4 2 3'
_cell_length_a 7.6617
_cell_length_b 7.6617
_cell_length_c 7.6617
_cell_angle_alpha 90.00
_cell_angle_beta 90.00
_cell_angle_gamma 90.00
loop_
_atom_site_label
_atom_site_type_symbol
_atom_site_fract_x
_atom_site_fract_y
_atom_site_fract_z
_atom_site_occupancy
Li1 Li 0.1236 0.1236 0.1236 1
Y1 Y 0.0000 0.0000 0.5000 1
Al1 Al 0.2500 0.2500 0.7500 1
```

Output
As for the formation enthalpy at 0 K: -0.05 eV per atom.

Entry from Alexandria via LeMat-Bulk: a geometry-optimized PHCl structure (PBE).

CIF file:
```
data_PHCl
_chemical_formula_sum 'P1 H1 Cl1'
_space_group_name_H-M_alt 'P 1'
_space_group_IT_number 1
_space_group_name_Hall 'P 1'
_cell_length_a 3.0095
_cell_length_b 4.3309
_cell_length_c 5.5515
_cell_angle_alpha 99.97
_cell_angle_beta 105.63
_cell_angle_gamma 110.05
loop_
_atom_site_label
_atom_site_type_symbol
_atom_site_fract_x
_atom_site_fract_y
_atom_site_fract_z
_atom_site_occupancy
P1 P 0.0000 0.0000 0.0000 1
H1 H 0.2513 0.3557 0.1525 1
Cl1 Cl 0.8712 0.0965 0.6453 1
```

Output
As for the total energy: -10.9 eV per cell.

Entry from Alexandria via LeMat-Bulk: a geometry-optimized CrTc4Ni structure (PBE).

CIF file:
```
data_CrTc4Ni
_chemical_formula_sum 'Cr4 Tc16 Ni4'
_space_group_name_H-M_alt 'F -4 3 m'
_space_group_IT_number 216
_space_group_name_Hall 'F -4 2 3'
_cell_length_a 7.1253
_cell_length_b 7.1253
_cell_length_c 7.1253
_cell_angle_alpha 90.00
_cell_angle_beta 90.00
_cell_angle_gamma 90.00
loop_
_atom_site_label
_atom_site_type_symbol
_atom_site_fract_x
_atom_site_fract_y
_atom_site_fract_z
_atom_site_occupancy
Cr1 Cr 0.0000 0.0000 0.0000 1
Tc1 Tc 0.1244 0.1244 0.6244 1
Ni1 Ni 0.2500 0.2500 0.2500 1
```

Output
As for the formation enthalpy at 0 K: 0.48 eV per atom.

Entry from Alexandria via LeMat-Bulk: a geometry-optimized AlVSb2 structure (PBE).

CIF file:
```
data_AlVSb2
_chemical_formula_sum 'Al3 V3 Sb6'
_space_group_name_H-M_alt 'R -3 m'
_space_group_IT_number 166
_space_group_name_Hall '-R 3 2"'
_cell_length_a 3.1825
_cell_length_b 3.1825
_cell_length_c 32.3520
_cell_angle_alpha 90.00
_cell_angle_beta 90.00
_cell_angle_gamma 120.00
loop_
_atom_site_label
_atom_site_type_symbol
_atom_site_fract_x
_atom_site_fract_y
_atom_site_fract_z
_atom_site_occupancy
Al1 Al 0.0000 0.0000 0.0000 1
V1 V 0.0000 0.0000 0.5000 1
Sb1 Sb 0.0000 0.0000 0.4148 1
```

Output
The calculation puts the uncorrected formation energy at 0.64 eV per atom.

Entry from Alexandria via LeMat-Bulk: a geometry-optimized LaSmIrO6 structure (PBE).

CIF file:
```
data_LaSmIrO6
_chemical_formula_sum 'La2 Sm2 Ir2 O12'
_space_group_name_H-M_alt 'P -3 1 c'
_space_group_IT_number 163
_space_group_name_Hall '-P 3 2c'
_cell_length_a 5.6449
_cell_length_b 5.6449
_cell_length_c 10.0190
_cell_angle_alpha 90.00
_cell_angle_beta 90.00
_cell_angle_gamma 120.00
loop_
_atom_site_label
_atom_site_type_symbol
_atom_site_fract_x
_atom_site_fract_y
_atom_site_fract_z
_atom_site_occupancy
La1 La 0.0000 0.0000 0.0000 1
Sm1 Sm 0.3333 0.6667 0.2500 1
Ir1 Ir 0.3333 0.6667 0.7500 1
O1 O 0.0487 0.3789 0.6387 1
```

Output
The calculation puts the uncorrected formation energy at -2.17 eV per atom.

Entry from Alexandria via LeMat-Bulk: a geometry-optimized BaCoAu2 structure (PBE).

CIF file:
```
data_BaCoAu2
_chemical_formula_sum 'Ba2 Co2 Au4'
_space_group_name_H-M_alt 'I m m 2'
_space_group_IT_number 44
_space_group_name_Hall 'I 2 -2'
_cell_length_a 4.6573
_cell_length_b 5.8965
_cell_length_c 7.6138
_cell_angle_alpha 90.00
_cell_angle_beta 90.00
_cell_angle_gamma 90.00
loop_
_atom_site_label
_atom_site_type_symbol
_atom_site_fract_x
_atom_site_fract_y
_atom_site_fract_z
_atom_site_occupancy
Ba1 Ba 0.0000 0.0000 0.0000 1
Co1 Co 0.0000 0.5000 0.8441 1
Au1 Au 0.0000 0.0000 0.4608 1
Au2 Au 0.0000 0.5000 0.1906 1
```

Output
As for the formation enthalpy at 0 K: 0.10 eV per atom.